1.
Here is a relaxed MgCdIn2Ga crystal from the Alexandria database. Energies are from PBE.

Computed properties:
Total magnetic moment: 0.0 Bohr magnetons per cell
SG: No. 123
VASP energy: -9.522 eV per cell

Cell lengths 5.4552, 5.1364, 5.4552 Å; angles 90.00, 90.00, 90.00 degrees
Closest atoms and distances in Å follow each position.
Element x y z (fractional)
Ga (0.0000, 0.0000, 0.0000)  2 Cd 2.57, 4 In 2.73
Cd (0.0000, 0.5000, 0.0000)  2 Ga 2.57
Mg (0.5000, 0.5000, 0.5000)  8 In 3.75, 4 Cd 3.86
In (0.0000, 0.0000, 0.5000)  2 Ga 2.73
In (0.5000, 0.0000, 0.0000)  2 Ga 2.73

2.
Here is a relaxed Mg2CdInGa crystal from the Alexandria database. Energies are from PBE.

Computed properties:
Total magnetic moment: 0.0 Bohr magnetons per cell
SG: No. 11
VASP energy: -20.387 eV per cell

Cell lengths 4.3823, 7.1127, 6.9811 Å; angles 92.37, 90.00, 90.00 degrees
Closest atoms and distances in Å follow each position.
Element x y z (fractional)
Ga (0.2500, 0.7419, 0.2574)  6 Mg 3.03-3.20, 3 Cd 3.09-3.14, 3 In 3.21-3.30
Ga (0.7500, 0.2581, 0.7426)  6 Mg 3.03-3.20, 3 Cd 3.09-3.14, 3 In 3.21-3.30
In (0.7500, 0.0521, 0.1570)  1 Cd 3.09, 6 Mg 3.10-3.18, 2 In 3.17, 3 Ga 3.21-3.30
In (0.2500, 0.9479, 0.8430)  1 Cd 3.09, 6 Mg 3.10-3.18, 2 In 3.17, 3 Ga 3.21-3.30
Cd (0.7500, 0.4528, 0.3469)  6 Mg 3.05-3.17, 3 Ga 3.09-3.14, 1 In 3.09, 2 Cd 3.11
Cd (0.2500, 0.5472, 0.6531)  6 Mg 3.05-3.17, 3 Ga 3.09-3.14, 1 In 3.09, 2 Cd 3.11
Mg (0.7500, 0.8449, 0.5418)  3 Ga 3.03-3.20, 3 Cd 3.05-3.17, 3 In 3.10-3.12, 3 Mg 3.18-3.28
Mg (0.2500, 0.1551, 0.4582)  3 Ga 3.03-3.20, 3 Cd 3.05-3.17, 3 In 3.10-3.12, 3 Mg 3.18-3.28
Mg (0.7500, 0.6500, 0.9597)  3 Ga 3.07-3.12, 3 Cd 3.10-3.13, 3 In 3.12-3.18, 3 Mg 3.13-3.28
Mg (0.2500, 0.3500, 0.0403)  3 Ga 3.07-3.12, 3 Cd 3.10-3.13, 3 In 3.12-3.18, 3 Mg 3.13-3.28

3.
Here is a relaxed Mg2Cd2In2Ga crystal from the Alexandria database. Energies are from PBE.

Computed properties:
Total magnetic moment: 0.0 Bohr magnetons per cell
SG: No. 12
VASP energy: -13.635 eV per cell

Cell lengths 3.2061, 8.0925, 7.0812 Å; angles 113.99, 90.00, 101.43 degrees
Closest atoms and distances in Å follow each position.
Element x y z (fractional)
In (0.5730, 0.1459, 0.9138)  3 In 3.03-3.21, 3 Cd 3.07-3.23, 2 Ga 3.11, 2 Mg 3.14-3.18
In (0.4270, 0.8541, 0.0862)  3 In 3.03-3.21, 3 Cd 3.07-3.23, 2 Ga 3.11, 2 Mg 3.14-3.18
Cd (0.7799, 0.5598, 0.2088)  3 Mg 3.00-3.03, 3 In 3.07-3.23, 4 Cd 3.14-3.21, 1 Ga 3.24
Cd (0.2201, 0.4402, 0.7912)  3 Mg 3.00-3.03, 3 In 3.07-3.23, 4 Cd 3.14-3.21, 1 Ga 3.24
Mg (0.6403, 0.2806, 0.3984)  3 Cd 3.00-3.03, 2 Ga 3.06, 2 In 3.14-3.18, 2 Mg 3.21
Mg (0.3597, 0.7194, 0.6016)  3 Cd 3.00-3.03, 2 Ga 3.06, 2 In 3.14-3.18, 2 Mg 3.21
Ga (0.0000, 0.0000, 0.5000)  4 Mg 3.06, 4 In 3.11, 2 Ga 3.21, 2 Cd 3.24

4.
Here is a relaxed Mg5CdInGa2 crystal from the Alexandria database. Energies are from PBE.

Computed properties:
Total magnetic moment: 0.0 Bohr magnetons per cell
SG: No. 140
VASP energy: -36.370 eV per cell

Cell lengths 6.7977, 6.7977, 10.0024 Å; angles 109.86, 109.86, 90.00 degrees
Closest atoms and distances in Å follow each position.
Element x y z (fractional)
Ga (0.6292, 0.1292, 0.0000)  1 Ga 2.48, 4 Mg 2.67-2.75
Ga (0.3708, 0.8708, 0.0000)  1 Ga 2.48, 4 Mg 2.67-2.75
Ga (0.8708, 0.6292, 0.0000)  1 Ga 2.48, 4 Mg 2.67-2.75
Ga (0.1292, 0.3708, 0.0000)  1 Ga 2.48, 4 Mg 2.67-2.75
Mg (0.6845, 0.1845, 0.7547)  1 Ga 2.75, 1 In 2.90
Mg (0.8155, 0.9298, 0.2453)  1 Ga 2.75, 1 In 2.90
Mg (0.0702, 0.5702, 0.7547)  1 Ga 2.75, 1 In 2.90
Mg (0.5702, 0.6845, 0.7547)  1 Ga 2.75, 1 In 2.90
Mg (0.9298, 0.4298, 0.2453)  1 Ga 2.75, 1 In 2.90
Mg (0.0000, 0.0000, 0.0000)  4 Ga 2.67
Mg (0.5000, 0.5000, 0.0000)  4 Ga 2.67
Mg (0.1845, 0.0702, 0.7547)  1 Ga 2.75, 1 In 2.90
Mg (0.3155, 0.8155, 0.2453)  1 Ga 2.75, 1 In 2.90
Mg (0.4298, 0.3155, 0.2453)  1 Ga 2.75, 1 In 2.90
Cd (0.7500, 0.7500, 0.5000)  8 Mg 3.33, 4 In 3.40
Cd (0.2500, 0.2500, 0.5000)  8 Mg 3.33, 4 In 3.40
In (0.7500, 0.2500, 0.5000)  4 Mg 2.90
In (0.2500, 0.7500, 0.5000)  4 Mg 2.90